1.
## Li2Mg2AsO6 (PBE)

Data for a geometry-optimized Li2Mg2AsO6 structure.

a = 4.903 Å, b = 4.903 Å, c = 4.777 Å
α = 90.00°, β = 90.00°, γ = 120.00°
Fractional coordinates of all 11 atoms:
Li (0.333, 0.667, 0.000)
Li (0.667, 0.333, 0.000)
Mg (0.667, 0.333, 0.500)
Mg (0.333, 0.667, 0.500)
As (0.000, 0.000, 0.000)
O (0.000, 0.316, 0.772)
O (0.684, 0.684, 0.772)
O (0.316, 0.000, 0.772)
O (0.000, 0.684, 0.228)
O (0.316, 0.316, 0.228)
O (0.684, 0.000, 0.228)

Computed properties:
Formation energy (no corrections) ... -19.516 eV per formula unit
Density ... 3.9 g/cm3

2.
## Li2MgAsPb (PBE)

Data for a geometry-optimized Li2MgAsPb structure.

a = 5.031 Å, b = 5.336 Å, c = 5.031 Å
α = 90.00°, β = 90.00°, γ = 90.00°
Fractional coordinates of all 5 atoms:
Pb (0.000, 0.000, 0.000)
As (0.500, 0.500, 0.500)
Mg (0.000, 0.500, 0.000)
Li (0.000, 0.000, 0.500)
Li (0.500, 0.000, 0.000)

Computed properties:
Energy ... -12.0 eV per cell
Density ... 3.9 g/cm3

3.
## LiMg2As2Pd2 (PBE)

Data for a geometry-optimized LiMg2As2Pd2 structure.

a = 4.391 Å, b = 4.391 Å, c = 7.983 Å
α = 74.04°, β = 74.04°, γ = 60.00°
Fractional coordinates of all 7 atoms:
Li (0.000, 0.000, 0.000)
Mg (0.135, 0.135, 0.595)
Mg (0.865, 0.865, 0.405)
As (0.740, 0.740, 0.779)
As (0.260, 0.260, 0.221)
Pd (0.571, 0.571, 0.286)
Pd (0.429, 0.429, 0.714)

Computed properties:
Energy ... -28.4 eV per cell
Density ... 5.5 g/cm3

4.
## LiMgAs2Pd5 (PBE)

Data for a geometry-optimized LiMgAs2Pd5 structure.

a = 4.143 Å, b = 4.143 Å, c = 8.856 Å
α = 90.00°, β = 90.00°, γ = 90.00°
Fractional coordinates of all 9 atoms:
Li (0.000, 0.000, 0.000)
Mg (0.000, 0.000, 0.500)
As (0.500, 0.500, 0.136)
As (0.500, 0.500, 0.864)
Pd (0.000, 0.500, 0.283)
Pd (0.500, 0.000, 0.283)
Pd (0.000, 0.500, 0.717)
Pd (0.500, 0.000, 0.717)
Pd (0.500, 0.500, 0.500)

Computed properties:
Energy ... -43.4 eV per cell
Density ... 7.8 g/cm3

5.
## LiMgAsRh (PBE)

Data for a geometry-optimized LiMgAsRh structure.

a = 4.380 Å, b = 4.380 Å, c = 4.380 Å
α = 60.00°, β = 60.00°, γ = 60.00°
Fractional coordinates of all 4 atoms:
As (0.750, 0.750, 0.750)
Rh (0.500, 0.500, 0.500)
Mg (0.250, 0.250, 0.250)
Li (0.000, 0.000, 0.000)

Computed properties:
Energy ... -17.5 eV per cell
Density ... 5.8 g/cm3

6.
## LiMgAs2Se (PBE)

Data for a geometry-optimized LiMgAs2Se structure.

a = 4.536 Å, b = 4.536 Å, c = 5.009 Å
α = 90.00°, β = 90.00°, γ = 90.00°
Fractional coordinates of all 5 atoms:
As (0.000, 0.500, 0.000)
As (0.500, 0.000, 0.000)
Mg (0.500, 0.500, 0.500)
Se (0.000, 0.000, 0.500)
Li (0.000, 0.000, 0.000)

Computed properties:
Polymorph energy (0 for the lowest one) ... 0.000 eV per atom
Formation energy (no corrections) ... 0.901 eV per formula unit
Density ... 4.2 g/cm3

7.
## Li2MgAsSe4 (PBE)

Data for a geometry-optimized Li2MgAsSe4 structure.

a = 7.728 Å, b = 7.728 Å, c = 7.924 Å
α = 120.84°, β = 120.84°, γ = 90.35°
Fractional coordinates of all 16 atoms:
Li (0.500, 0.000, 0.000)
Li (0.500, 0.000, 0.500)
Li (0.000, 0.000, 0.500)
Li (0.500, 0.500, 0.000)
Mg (0.000, 0.500, 0.000)
Mg (0.000, 0.500, 0.500)
As (0.500, 0.500, 0.500)
As (0.000, 0.000, 0.000)
Se (0.243, 0.755, 0.999)
Se (0.745, 0.257, 0.501)
Se (0.255, 0.743, 0.499)
Se (0.757, 0.245, 0.001)
Se (0.750, 0.750, 0.992)
Se (0.750, 0.750, 0.508)
Se (0.250, 0.250, 0.492)
Se (0.250, 0.250, 0.008)

Computed properties:
Formation energy (no corrections) ... -5.974 eV per formula unit
Density ... 4.4 g/cm3

8.
## LiMg2SiAs (PBE)

Data for a geometry-optimized LiMg2SiAs structure.

a = 4.887 Å, b = 4.277 Å, c = 4.887 Å
α = 90.00°, β = 90.00°, γ = 90.00°
Fractional coordinates of all 5 atoms:
Mg (0.000, 0.000, 0.500)
Mg (0.500, 0.000, 0.000)
As (0.000, 0.500, 0.000)
Si (0.500, 0.500, 0.500)
Li (0.000, 0.000, 0.000)

Computed properties:
Formation energy (no corrections) ... 2.034 eV per formula unit
Density ... 2.6 g/cm3